A plane-wave DFT calculation with PBE was carried out for a relaxed structure of Pa2TcHg.

Structure (CIF):
```
data_Pa2TcHg
_chemical_formula_sum 'Pa8 Tc4 Hg4'
_space_group_name_H-M_alt 'P 1'
_space_group_IT_number 1
_space_group_name_Hall 'P 1'
_cell_length_a 7.131
_cell_length_b 7.131
_cell_length_c 7.131
_cell_angle_alpha 90.00
_cell_angle_beta 90.00
_cell_angle_gamma 90.00
loop_
_atom_site_label
_atom_site_type_symbol
_atom_site_fract_x
_atom_site_fract_y
_atom_site_fract_z
_atom_site_occupancy
Pa1 Pa 0.250 0.250 0.250 1
Pa2 Pa 0.250 0.250 0.750 1
Pa3 Pa 0.250 0.750 0.250 1
Pa4 Pa 0.250 0.750 0.750 1
Pa5 Pa 0.750 0.250 0.250 1
Pa6 Pa 0.750 0.250 0.750 1
Pa7 Pa 0.750 0.750 0.250 1
Pa8 Pa 0.750 0.750 0.750 1
Tc1 Tc 0.000 0.000 0.000 1
Tc2 Tc 0.000 0.500 0.500 1
Tc3 Tc 0.500 0.000 0.500 1
Tc4 Tc 0.500 0.500 0.000 1
Hg1 Hg 0.000 0.000 0.500 1
Hg2 Hg 0.000 0.500 0.000 1
Hg3 Hg 0.500 0.000 0.000 1
Hg4 Hg 0.500 0.500 0.500 1
```

Properties
space group	Fm-3m
DOS at the Fermi energy	28.9	states/eV per cell
spin magnetization	2.5	Bohr magnetons per cell
E above lowest polymorph	0.298	eV/atom
DFT total energy	-7.2574	eV/atom
ΔE_f	0.16	eV per atom


A plane-wave DFT calculation with PBE was carried out for a relaxed structure of PmSc2Tl.

Structure (CIF):
```
data_PmSc2Tl
_chemical_formula_sum 'Pm1 Sc2 Tl1'
_space_group_name_H-M_alt 'P 1'
_space_group_IT_number 1
_space_group_name_Hall 'P 1'
_cell_length_a 4.713
_cell_length_b 4.713
_cell_length_c 4.644
_cell_angle_alpha 90.00
_cell_angle_beta 90.00
_cell_angle_gamma 90.00
loop_
_atom_site_label
_atom_site_type_symbol
_atom_site_fract_x
_atom_site_fract_y
_atom_site_fract_z
_atom_site_occupancy
Pm1 Pm 0.000 0.000 0.000 1
Sc1 Sc 0.000 0.500 0.500 1
Sc2 Sc 0.500 0.000 0.500 1
Tl1 Tl 0.500 0.500 0.000 1
```

Properties
space group	P4/mmm
DOS at the Fermi energy	4.9	states/eV per cell
spin magnetization	0.9	Bohr magnetons per cell
E above lowest polymorph	0.015	eV/atom
DFT total energy	-5.1149	eV/atom
ΔE_f	-0.17	eV per atom